# 1
## Cd2TeIr (meta-GGA SCAN)

Data for a crystal of Cd2TeIr relaxed with PBEsol. Values from VASP.

The structure in Quantum ESPRESSO input format:
```
&SYSTEM
  ibrav = 0, nat = 8, ntyp = 3
/
ATOMIC_SPECIES
Cd 112.41 Cd.upf
Te 127.60 Te.upf
Ir 192.22 Ir.upf
CELL_PARAMETERS angstrom
4.1132 0.0000 0.0000
0.0000 4.1132 0.0000
0.0000 0.0000 9.0594
ATOMIC_POSITIONS crystal
Cd 0.0000 0.5000 0.2500
Cd 0.0000 0.5000 0.7500
Cd 0.5000 0.0000 0.2500
Cd 0.5000 0.0000 0.7500
Te 0.0000 0.0000 0.0000
Te 0.5000 0.5000 0.5000
Ir 0.0000 0.0000 0.5000
Ir 0.5000 0.5000 0.0000
```

The value obtained for the formation energy from raw total energies is 283 meV per atom. Its crystal system is tetragonal.

=====

# 2
## CdTeIr2 (meta-GGA SCAN)

Data for a crystal of CdTeIr2 relaxed with PBEsol. Values from VASP.

The structure in Quantum ESPRESSO input format:
```
&SYSTEM
  ibrav = 0, nat = 16, ntyp = 3
/
ATOMIC_SPECIES
Cd 112.41 Cd.upf
Te 127.60 Te.upf
Ir 192.22 Ir.upf
CELL_PARAMETERS angstrom
6.4966 0.0000 0.0000
0.0000 6.4966 0.0000
0.0000 0.0000 6.4966
ATOMIC_POSITIONS crystal
Cd 0.0000 0.0000 0.0000
Cd 0.0000 0.5000 0.5000
Cd 0.5000 0.0000 0.5000
Cd 0.5000 0.5000 0.0000
Te 0.0000 0.0000 0.5000
Te 0.0000 0.5000 0.0000
Te 0.5000 0.0000 0.0000
Te 0.5000 0.5000 0.5000
Ir 0.2500 0.2500 0.2500
Ir 0.2500 0.2500 0.7500
Ir 0.2500 0.7500 0.2500
Ir 0.2500 0.7500 0.7500
Ir 0.7500 0.2500 0.2500
Ir 0.7500 0.2500 0.7500
Ir 0.7500 0.7500 0.2500
Ir 0.7500 0.7500 0.7500
```

The value obtained for the formation energy from raw total energies is 472 meV per atom. Its crystal system is cubic.

=====

# 3
## Cd2TeIr (meta-GGA SCAN)

Data for a crystal of Cd2TeIr relaxed with PBEsol. Values from VASP.

The structure in Quantum ESPRESSO input format:
```
&SYSTEM
  ibrav = 0, nat = 12, ntyp = 3
/
ATOMIC_SPECIES
Cd 112.41 Cd.upf
Te 127.60 Te.upf
Ir 192.22 Ir.upf
CELL_PARAMETERS angstrom
2.9969 0.0000 0.0000
-1.4984 2.5954 0.0000
0.0000 0.0000 31.9562
ATOMIC_POSITIONS crystal
Cd 0.0000 0.0000 0.2353
Cd 0.0000 0.0000 0.7647
Cd 0.3333 0.6667 0.4313
Cd 0.3333 0.6667 0.9020
Cd 0.6667 0.3333 0.0980
Cd 0.6667 0.3333 0.5687
Te 0.0000 0.0000 0.0000
Te 0.3333 0.6667 0.6667
Te 0.6667 0.3333 0.3333
Ir 0.0000 0.0000 0.5000
Ir 0.3333 0.6667 0.1667
Ir 0.6667 0.3333 0.8333
```

The value obtained for the formation energy from raw total energies is 339 meV per atom. Its crystal system is trigonal.

=====

# 4
## CdTeIr2 (meta-GGA SCAN)

Data for a crystal of CdTeIr2 relaxed with PBEsol. Values from VASP.

The structure in Quantum ESPRESSO input format:
```
&SYSTEM
  ibrav = 0, nat = 4, ntyp = 3
/
ATOMIC_SPECIES
Cd 112.41 Cd.upf
Te 127.60 Te.upf
Ir 192.22 Ir.upf
CELL_PARAMETERS angstrom
3.0390 0.0000 0.0000
0.0000 4.7601 0.0000
0.0000 0.0000 4.8684
ATOMIC_POSITIONS crystal
Cd 0.0000 0.0000 0.0000
Te 0.5000 0.5000 0.2560
Ir 0.0000 0.5000 0.6924
Ir 0.5000 0.0000 0.5189
```

The value obtained for the formation energy from raw total energies is 388 meV per atom. Its crystal system is orthorhombic.

=====

# 5
## Ti2CdIr2 (meta-GGA SCAN)

Data for a crystal of Ti2CdIr2 relaxed with PBEsol. Values from VASP.

The structure in Quantum ESPRESSO input format:
```
&SYSTEM
  ibrav = 0, nat = 10, ntyp = 3
/
ATOMIC_SPECIES
Ti 47.87 Ti.upf
Cd 112.41 Cd.upf
Ir 192.22 Ir.upf
CELL_PARAMETERS angstrom
7.4442 0.0000 0.0000
0.0000 7.4442 0.0000
0.0000 0.0000 2.9045
ATOMIC_POSITIONS crystal
Ti 0.1562 0.3438 0.0000
Ti 0.3438 0.8438 0.0000
Ti 0.6562 0.1562 0.0000
Ti 0.8438 0.6562 0.0000
Cd 0.0000 0.0000 0.5000
Cd 0.5000 0.5000 0.5000
Ir 0.1375 0.6375 0.5000
Ir 0.3625 0.1375 0.5000
Ir 0.6375 0.8625 0.5000
Ir 0.8625 0.3625 0.5000
```

Its crystal system is tetragonal. The calculation puts the energy of formation from the pure elements at -791.9 meV per atom.

=====

# 6
## TiZnCd2Ir (meta-GGA SCAN)

Data for a crystal of TiZnCd2Ir relaxed with PBEsol. Values from VASP.

The structure in Quantum ESPRESSO input format:
```
&SYSTEM
  ibrav = 0, nat = 5, ntyp = 4
/
ATOMIC_SPECIES
Ti 47.87 Ti.upf
Zn 65.41 Zn.upf
Cd 112.41 Cd.upf
Ir 192.22 Ir.upf
CELL_PARAMETERS angstrom
4.9698 0.0000 0.0000
0.0000 4.9698 0.0000
0.0000 0.0000 4.5952
ATOMIC_POSITIONS crystal
Ti 0.0000 0.0000 0.0000
Zn 0.0000 0.0000 0.5000
Cd 0.0000 0.5000 0.0000
Cd 0.5000 0.0000 0.0000
Ir 0.5000 0.5000 0.5000
```

Its crystal system is tetragonal. The calculation puts the energy of formation from the pure elements at 1689.3 meV per atom.

=====

# 7
## TlCd2Ir (meta-GGA SCAN)

Data for a crystal of TlCd2Ir relaxed with PBEsol. Values from VASP.

The structure in Quantum ESPRESSO input format:
```
&SYSTEM
  ibrav = 0, nat = 8, ntyp = 3
/
ATOMIC_SPECIES
Tl 204.38 Tl.upf
Cd 112.41 Cd.upf
Ir 192.22 Ir.upf
CELL_PARAMETERS angstrom
5.6869 0.0000 0.0000
0.0000 8.3607 0.0000
0.0000 0.0000 3.1674
ATOMIC_POSITIONS crystal
Tl 0.0000 0.0000 0.0000
Tl 0.5000 0.5000 0.0000
Cd 0.2500 0.2500 0.5000
Cd 0.2500 0.7500 0.5000
Cd 0.7500 0.2500 0.5000
Cd 0.7500 0.7500 0.5000
Ir 0.0000 0.5000 0.0000
Ir 0.5000 0.0000 0.0000
```

Its crystal system is orthorhombic. The calculation puts the energy of formation from the pure elements at 325.1 meV per atom.

=====

# 8
## TlCd4Ir (meta-GGA SCAN)

Data for a crystal of TlCd4Ir relaxed with PBEsol. Values from VASP.

The structure in Quantum ESPRESSO input format:
```
&SYSTEM
  ibrav = 0, nat = 6, ntyp = 3
/
ATOMIC_SPECIES
Tl 204.38 Tl.upf
Cd 112.41 Cd.upf
Ir 192.22 Ir.upf
CELL_PARAMETERS angstrom
0.0000 3.9080 3.9080
3.9080 0.0000 3.9080
3.9080 3.9080 0.0000
ATOMIC_POSITIONS crystal
Tl 0.0000 0.0000 0.0000
Cd 0.3757 0.3757 0.3757
Cd 0.3757 0.3757 0.8730
Cd 0.3757 0.8730 0.3757
Cd 0.8730 0.3757 0.3757
Ir 0.7500 0.7500 0.7500
```

Its crystal system is cubic. The calculation puts the energy of formation from the pure elements at 432.4 meV per atom.